[1]
# Cd2HgRh, relaxed, DFT PBE
# Space group: No. 216
# Formation enthalpy at 0 K, eV per atom: 0.054
data_Cd2HgRh
_chemical_formula_sum 'Cd2 Hg1 Rh1'
_space_group_name_H-M_alt 'P 1'
_space_group_IT_number 1
_space_group_name_Hall 'P 1'
_cell_length_a 4.746
_cell_length_b 4.746
_cell_length_c 4.746
_cell_angle_alpha 60.00
_cell_angle_beta 60.00
_cell_angle_gamma 60.00
loop_
_atom_site_label
_atom_site_fract_x
_atom_site_fract_y
_atom_site_fract_z
_atom_site_occupancy
Cd1 0.000 0.000 0.000 1
Cd2 0.250 0.250 0.250 1
Hg1 0.500 0.500 0.500 1
Rh1 0.750 0.750 0.750 1

***

[2]
# CeDyTc2, relaxed, DFT PBE
# Energy above the lowest structure with this stoichiometry, eV per formula unit: 0.14
# Space group: No. 225
# Formation enthalpy at 0 K, eV per atom: 0.047
data_CeDyTc2
_chemical_formula_sum 'Ce1 Dy1 Tc2'
_space_group_name_H-M_alt 'P 1'
_space_group_IT_number 1
_space_group_name_Hall 'P 1'
_cell_length_a 4.845
_cell_length_b 4.845
_cell_length_c 4.845
_cell_angle_alpha 60.00
_cell_angle_beta 60.00
_cell_angle_gamma 60.00
loop_
_atom_site_label
_atom_site_fract_x
_atom_site_fract_y
_atom_site_fract_z
_atom_site_occupancy
Ce1 0.000 0.000 0.000 1
Dy1 0.500 0.500 0.500 1
Tc1 0.250 0.250 0.250 1
Tc2 0.750 0.750 0.750 1

***

[3]
# SrInCuMo2, relaxed, DFT PBE
# Space group: No. 123
# Formation enthalpy at 0 K, eV per atom: 2.404
data_SrInCuMo2
_chemical_formula_sum 'Sr1 In1 Cu1 Mo2'
_space_group_name_H-M_alt 'P 1'
_space_group_IT_number 1
_space_group_name_Hall 'P 1'
_cell_length_a 4.998
_cell_length_b 4.998
_cell_length_c 4.865
_cell_angle_alpha 90.00
_cell_angle_beta 90.00
_cell_angle_gamma 90.00
loop_
_atom_site_label
_atom_site_fract_x
_atom_site_fract_y
_atom_site_fract_z
_atom_site_occupancy
Sr1 0.000 0.000 0.000 1
In1 0.500 0.500 0.500 1
Cu1 0.000 0.000 0.500 1
Mo1 0.000 0.500 0.000 1
Mo2 0.500 0.000 0.000 1

***

[4]
# Rb3U3MoS8, relaxed, DFT PBE
# Uncorrected formation energy, eV/atom: -1.227
# Space group: No. 166
data_Rb3U3MoS8
_chemical_formula_sum 'Rb3 U3 Mo1 S8'
_space_group_name_H-M_alt 'P 1'
_space_group_IT_number 1
_space_group_name_Hall 'P 1'
_cell_length_a 9.170
_cell_length_b 9.170
_cell_length_c 9.170
_cell_angle_alpha 49.39
_cell_angle_beta 49.39
_cell_angle_gamma 49.39
loop_
_atom_site_label
_atom_site_fract_x
_atom_site_fract_y
_atom_site_fract_z
_atom_site_occupancy
Rb1 0.000 0.500 0.500 1
Rb2 0.500 0.000 0.500 1
Rb3 0.500 0.500 0.000 1
U1 0.000 0.000 0.500 1
U2 0.000 0.500 0.000 1
U3 0.500 0.000 0.000 1
Mo1 0.500 0.500 0.500 1
S1 0.233 0.233 0.233 1
S2 0.245 0.720 0.720 1
S3 0.280 0.280 0.755 1
S4 0.280 0.755 0.280 1
S5 0.720 0.245 0.720 1
S6 0.720 0.720 0.245 1
S7 0.755 0.280 0.280 1
S8 0.767 0.767 0.767 1

***

[5]
# CsTaTl2Br8, relaxed, DFT PBE
# Uncorrected formation energy, eV/atom: -1.032
# Space group: No. 2
data_CsTaTl2Br8
_chemical_formula_sum 'Cs1 Ta1 Tl2 Br8'
_space_group_name_H-M_alt 'P 1'
_space_group_IT_number 1
_space_group_name_Hall 'P 1'
_cell_length_a 6.611
_cell_length_b 8.189
_cell_length_c 10.112
_cell_angle_alpha 89.89
_cell_angle_beta 89.81
_cell_angle_gamma 66.33
loop_
_atom_site_label
_atom_site_fract_x
_atom_site_fract_y
_atom_site_fract_z
_atom_site_occupancy
Cs1 0.000 0.000 0.000 1
Ta1 0.000 0.000 0.500 1
Tl1 0.002 0.500 0.772 1
Tl2 0.998 0.500 0.228 1
Br1 0.224 0.186 0.499 1
Br2 0.250 0.797 0.322 1
Br3 0.251 0.797 0.677 1
Br4 0.301 0.291 0.001 1
Br5 0.699 0.709 0.999 1
Br6 0.749 0.203 0.323 1
Br7 0.750 0.203 0.678 1
Br8 0.776 0.814 0.501 1

***

[6]
# Na3In5Se12, relaxed, DFT PBE
# Uncorrected formation energy, eV/atom: -0.375
# Space group: No. 230
data_Na3In5Se12
_chemical_formula_sum 'Na12 In20 Se48'
_space_group_name_H-M_alt 'P 1'
_space_group_IT_number 1
_space_group_name_Hall 'P 1'
_cell_length_a 14.395
_cell_length_b 14.395
_cell_length_c 14.395
_cell_angle_alpha 109.47
_cell_angle_beta 109.47
_cell_angle_gamma 109.47
loop_
_atom_site_label
_atom_site_fract_x
_atom_site_fract_y
_atom_site_fract_z
_atom_site_occupancy
Na1 0.125 0.250 0.375 1
Na2 0.125 0.375 0.750 1
Na3 0.250 0.375 0.125 1
Na4 0.250 0.875 0.625 1
Na5 0.375 0.125 0.250 1
Na6 0.375 0.750 0.125 1
Na7 0.625 0.250 0.875 1
Na8 0.625 0.875 0.750 1
Na9 0.750 0.125 0.375 1
Na10 0.750 0.625 0.875 1
Na11 0.875 0.625 0.250 1
Na12 0.875 0.750 0.625 1
In1 0.000 0.000 0.000 1
In2 0.000 0.000 0.500 1
In3 0.000 0.500 0.000 1
In4 0.000 0.500 0.500 1
In5 0.125 0.750 0.875 1
In6 0.125 0.875 0.250 1
In7 0.250 0.125 0.875 1
In8 0.250 0.625 0.375 1
In9 0.375 0.250 0.625 1
In10 0.375 0.625 0.750 1
In11 0.500 0.000 0.000 1
In12 0.500 0.000 0.500 1
In13 0.500 0.500 0.000 1
In14 0.500 0.500 0.500 1
In15 0.625 0.375 0.250 1
In16 0.625 0.750 0.375 1
In17 0.750 0.375 0.625 1
In18 0.750 0.875 0.125 1
In19 0.875 0.125 0.750 1
In20 0.875 0.250 0.125 1
Se1 0.039 0.222 0.101 1
Se2 0.039 0.317 0.938 1
Se3 0.062 0.601 0.379 1
Se4 0.062 0.961 0.683 1
Se5 0.101 0.039 0.222 1
Se6 0.101 0.562 0.879 1
Se7 0.121 0.722 0.683 1
Se8 0.121 0.899 0.438 1
Se9 0.183 0.222 0.621 1
Se10 0.183 0.461 0.562 1
Se11 0.222 0.101 0.039 1
Se12 0.222 0.621 0.183 1
Se13 0.278 0.317 0.879 1
Se14 0.278 0.461 0.399 1
Se15 0.317 0.879 0.278 1
Se16 0.317 0.938 0.039 1
Se17 0.379 0.062 0.601 1
Se18 0.379 0.817 0.778 1
Se19 0.399 0.278 0.461 1
Se20 0.399 0.621 0.938 1
Se21 0.438 0.121 0.899 1
Se22 0.438 0.817 0.539 1
Se23 0.461 0.399 0.278 1
Se24 0.461 0.562 0.183 1
Se25 0.539 0.438 0.817 1
Se26 0.539 0.601 0.722 1
Se27 0.562 0.183 0.461 1
Se28 0.562 0.879 0.101 1
Se29 0.601 0.379 0.062 1
Se30 0.601 0.722 0.539 1
Se31 0.621 0.183 0.222 1
Se32 0.621 0.938 0.399 1
Se33 0.683 0.062 0.961 1
Se34 0.683 0.121 0.722 1
Se35 0.722 0.539 0.601 1
Se36 0.722 0.683 0.121 1
Se37 0.778 0.379 0.817 1
Se38 0.778 0.899 0.961 1
Se39 0.817 0.539 0.438 1
Se40 0.817 0.778 0.379 1
Se41 0.879 0.101 0.562 1
Se42 0.879 0.278 0.317 1
Se43 0.899 0.438 0.121 1
Se44 0.899 0.961 0.778 1
Se45 0.938 0.039 0.317 1
Se46 0.938 0.399 0.621 1
Se47 0.961 0.683 0.062 1
Se48 0.961 0.778 0.899 1

***

[7]
# KBPt3, relaxed, DFT PBE
# Space group: No. 99
# Formation enthalpy at 0 K, eV per atom: -0.065
data_KBPt3
_chemical_formula_sum 'K1 B1 Pt3'
_space_group_name_H-M_alt 'P 1'
_space_group_IT_number 1
_space_group_name_Hall 'P 1'
_cell_length_a 4.131
_cell_length_b 4.131
_cell_length_c 4.849
_cell_angle_alpha 90.00
_cell_angle_beta 90.00
_cell_angle_gamma 90.00
loop_
_atom_site_label
_atom_site_fract_x
_atom_site_fract_y
_atom_site_fract_z
_atom_site_occupancy
K1 0.000 0.000 0.000 1
B1 0.500 0.500 0.328 1
Pt1 0.000 0.500 0.490 1
Pt2 0.500 0.000 0.490 1
Pt3 0.500 0.500 0.898 1

***

[8]
# Y2ZrScH, relaxed, DFT PBE
# Energy above the lowest structure with this stoichiometry, eV per formula unit: 0.01
# Space group: No. 123
data_Y2ZrScH
_chemical_formula_sum 'Y2 Zr1 Sc1 H1'
_space_group_name_H-M_alt 'P 1'
_space_group_IT_number 1
_space_group_name_Hall 'P 1'
_cell_length_a 4.854
_cell_length_b 4.854
_cell_length_c 4.659
_cell_angle_alpha 90.00
_cell_angle_beta 90.00
_cell_angle_gamma 90.00
loop_
_atom_site_label
_atom_site_fract_x
_atom_site_fract_y
_atom_site_fract_z
_atom_site_occupancy
Y1 0.000 0.500 0.000 1
Y2 0.500 0.000 0.000 1
Zr1 0.000 0.000 0.500 1
Sc1 0.500 0.500 0.500 1
H1 0.000 0.000 0.000 1

***

[9]
# Mg2PbCl, relaxed, DFT PBE
# Energy above the lowest structure with this stoichiometry, eV per formula unit: 2.04
# Uncorrected formation energy, eV/atom: -0.051
# Space group: No. 216
data_Mg2PbCl
_chemical_formula_sum 'Mg2 Pb1 Cl1'
_space_group_name_H-M_alt 'P 1'
_space_group_IT_number 1
_space_group_name_Hall 'P 1'
_cell_length_a 5.297
_cell_length_b 5.297
_cell_length_c 5.297
_cell_angle_alpha 60.00
_cell_angle_beta 60.00
_cell_angle_gamma 60.00
loop_
_atom_site_label
_atom_site_fract_x
_atom_site_fract_y
_atom_site_fract_z
_atom_site_occupancy
Mg1 0.000 0.000 0.000 1
Mg2 0.250 0.250 0.250 1
Pb1 0.750 0.750 0.750 1
Cl1 0.500 0.500 0.500 1

***

[10]
# In5Ga4Pb, relaxed, DFT PBE
# Space group: No. 123
# Formation enthalpy at 0 K, eV per atom: 0.043
data_In5Ga4Pb
_chemical_formula_sum 'In5 Ga4 Pb1'
_space_group_name_H-M_alt 'P 1'
_space_group_IT_number 1
_space_group_name_Hall 'P 1'
_cell_length_a 3.397
_cell_length_b 3.397
_cell_length_c 20.976
_cell_angle_alpha 90.00
_cell_angle_beta 90.00
_cell_angle_gamma 90.00
loop_
_atom_site_label
_atom_site_fract_x
_atom_site_fract_y
_atom_site_fract_z
_atom_site_occupancy
In1 0.000 0.000 0.000 1
In2 0.000 0.000 0.192 1
In3 0.000 0.000 0.381 1
In4 0.000 0.000 0.619 1
In5 0.000 0.000 0.808 1
Ga1 0.500 0.500 0.095 1
Ga2 0.500 0.500 0.286 1
Ga3 0.500 0.500 0.714 1
Ga4 0.500 0.500 0.905 1
Pb1 0.500 0.500 0.500 1

***

[11]
# Pm2Pr5Tm4, relaxed, DFT PBE
# Energy above the lowest structure with this stoichiometry, eV per formula unit: 0.00
# Space group: No. 12
# Formation enthalpy at 0 K, eV per atom: 0.074
data_Pm2Pr5Tm4
_chemical_formula_sum 'Pm2 Pr5 Tm4'
_space_group_name_H-M_alt 'P 1'
_space_group_IT_number 1
_space_group_name_Hall 'P 1'
_cell_length_a 9.099
_cell_length_b 9.099
_cell_length_c 11.715
_cell_angle_alpha 93.83
_cell_angle_beta 93.83
_cell_angle_gamma 22.59
loop_
_atom_site_label
_atom_site_fract_x
_atom_site_fract_y
_atom_site_fract_z
_atom_site_occupancy
Pm1 0.217 0.217 0.351 1
Pm2 0.783 0.783 0.649 1
Pr1 0.000 0.000 0.000 1
Pr2 0.324 0.324 0.930 1
Pr3 0.404 0.404 0.465 1
Pr4 0.596 0.596 0.535 1
Pr5 0.676 0.676 0.070 1
Tm1 0.139 0.139 0.797 1
Tm2 0.468 0.468 0.741 1
Tm3 0.532 0.532 0.259 1
Tm4 0.861 0.861 0.203 1

***

[12]
# Ac3Y2Sn3, relaxed, DFT PBE
# Energy above the lowest structure with this stoichiometry, eV per formula unit: 0.99
# Space group: No. 71
# Formation enthalpy at 0 K, eV per atom: -0.530
data_Ac3Y2Sn3
_chemical_formula_sum 'Ac3 Y2 Sn3'
_space_group_name_H-M_alt 'P 1'
_space_group_IT_number 1
_space_group_name_Hall 'P 1'
_cell_length_a 12.317
_cell_length_b 12.317
_cell_length_c 12.317
_cell_angle_alpha 159.07
_cell_angle_beta 155.84
_cell_angle_gamma 32.18
loop_
_atom_site_label
_atom_site_fract_x
_atom_site_fract_y
_atom_site_fract_z
_atom_site_occupancy
Ac1 0.000 0.000 0.000 1
Ac2 0.380 0.880 0.500 1
Ac3 0.620 0.120 0.500 1
Y1 0.256 0.256 0.000 1
Y2 0.744 0.744 0.000 1
Sn1 0.157 0.657 0.500 1
Sn2 0.500 0.500 0.000 1
Sn3 0.843 0.343 0.500 1

***

Values of raw total energy, in order: -9.3 -31.1 -18.2 -99.0 -43.2 -67.0 -26.2 -31.6 -8.9 -29.1 -50.5 -41.5, all in eV per formula unit.